Record 1
# TiMnNbRu

A geometry-optimized TiMnNbRu structure (PBE, Alexandria).

Unit cell a=3.077 b=3.077 c=6.169 alpha=90.00 beta=90.00 gamma=90.00
Space group P4mm (No. 99)
Asymmetric unit:
Ti 0.000 0.000 0.000 [1 per cell]
Mn 0.500 0.500 0.239 [1 per cell]
Nb 0.000 0.000 0.480 [1 per cell]
Ru 0.500 0.500 0.749 [1 per cell]

**Total moment**: 0.0 μB per formula unit
**Energy of formation**: -0.397 eV per atom
**Relative energy among the computed polymorphs**: 0 meV/atom
**Calculated volume**: 14.6 Å³ per atom

Record 2
# TmAl3CuPd

A geometry-optimized TmAl3CuPd structure (PBE, Alexandria).

Unit cell a=6.117 b=12.326 c=5.680 alpha=90.00 beta=90.00 gamma=90.00
Space group Cmcm (No. 63)
Asymmetric unit:
Tm 0.000 0.213 0.250 [4 per cell]
Al 0.000 0.358 0.750 [4 per cell]
Al 0.212 0.000 0.000 [8 per cell]
Cu 0.000 0.427 0.250 [4 per cell]
Pd 0.000 0.148 0.750 [4 per cell]

**Total moment**: 0.0 μB per formula unit
**Energy of formation**: -0.413 eV per atom
**Calculated volume**: 17.8 Å³ per atom

Record 3
# ScBeAu3

A geometry-optimized ScBeAu3 structure (PBE, Alexandria).

Unit cell a=6.6409 b=6.6409 c=6.9999 alpha=90.00 beta=90.00 gamma=120.00
Space group R3m (No. 160, hexagonal axes)
Asymmetric unit:
Sc 0.0000 0.0000 0.0000 [3 per cell]
Be 0.0000 0.0000 0.3980 [3 per cell]
Au 0.1890 0.3780 0.3077 [9 per cell]

**Total moment**: 0.0 μB per formula unit
**Energy of formation**: -0.347 eV per atom
**Relative energy among the computed polymorphs**: 0 meV/atom
**Calculated volume**: 17.8 Å³ per atom

Record 4
# BaNaTeSe3

A geometry-optimized BaNaTeSe3 structure (PBE, Alexandria).

Unit cell a=5.440 b=12.813 c=11.136 alpha=90.00 beta=90.00 gamma=90.00
Space group Cmcm (No. 63)
Asymmetric unit:
Ba 0.000 0.238 0.250 [4 per cell]
Na 0.000 0.000 0.000 [4 per cell]
Te 0.000 0.475 0.750 [4 per cell]
Se 0.000 0.031 0.750 [4 per cell]
Se 0.000 0.343 0.567 [8 per cell]

**Total moment**: 0.0 μB per formula unit
**E_form (uncorrected)**: -0.82 eV per atom
**Calculated volume**: 32.3 Å³ per atom

Record 5
# Ba2NpZn2S6

A geometry-optimized Ba2NpZn2S6 structure (PBE, Alexandria).

Unit cell a=7.3069 b=7.3069 c=20.1383 alpha=90.00 beta=90.00 gamma=120.00
Space group R-3m (No. 166, hexagonal axes)
Asymmetric unit:
Ba 0.0000 0.0000 0.2151 [6 per cell]
Np 0.0000 0.0000 0.0000 [3 per cell]
Zn 0.0000 0.0000 0.4201 [6 per cell]
S 0.0183 0.5092 0.7547 [18 per cell]

**Total moment**: 3.0 μB per formula unit
**E_form (uncorrected)**: -1.24 eV per atom
**Calculated volume**: 28.2 Å³ per atom

Record 6
# Tb5Co2Sb

A geometry-optimized Tb5Co2Sb structure (PBE, Alexandria).

Unit cell a=7.671 b=7.671 c=13.277 alpha=90.00 beta=90.00 gamma=90.00
Space group I4/mcm (No. 140)
Asymmetric unit:
Tb 0.000 0.000 0.000 [4 per cell]
Tb 0.158 0.342 0.133 [16 per cell]
Co 0.136 0.364 0.500 [8 per cell]
Sb 0.000 0.000 0.250 [4 per cell]

**Total moment**: 0.0 μB per formula unit
**E_form (uncorrected)**: -0.42 eV per atom
**Calculated volume**: 24.4 Å³ per atom

Record 7
# TeWBr2

A geometry-optimized TeWBr2 structure (PBE, Alexandria).

Unit cell a=4.560 b=4.560 c=4.694 alpha=90.00 beta=90.00 gamma=90.00
Space group P4/mmm (No. 123)
Asymmetric unit:
Te 0.000 0.000 0.000 [1 per cell]
W 0.500 0.500 0.000 [1 per cell]
Br 0.000 0.500 0.500 [2 per cell]

**Total moment**: 3.2 μB per formula unit
**E_form (uncorrected)**: 1.30 eV per atom
**Relative energy among the computed polymorphs**: 1358 meV/atom
**Calculated volume**: 24.4 Å³ per atom

Record 8
# TlZn3Ga3

A geometry-optimized TlZn3Ga3 structure (PBE, Alexandria).

Unit cell a=7.119 b=7.119 c=7.119 alpha=90.00 beta=90.00 gamma=90.00
Space group Pm-3n (No. 223)
Asymmetric unit:
Tl 0.000 0.000 0.000 [2 per cell]
Zn 0.000 0.250 0.500 [6 per cell]
Ga 0.000 0.500 0.250 [6 per cell]

**Total moment**: 0.0 μB per formula unit
**Energy of formation**: 0.293 eV per atom
**Calculated volume**: 25.8 Å³ per atom

Record 9
# ZrV3Ir

A geometry-optimized ZrV3Ir structure (PBE, Alexandria).

Unit cell a=4.483 b=4.483 c=4.483 alpha=90.00 beta=90.00 gamma=90.00
Space group Pm-3m (No. 221)
Asymmetric unit:
Zr 0.000 0.000 0.000 [1 per cell]
V 0.000 0.000 0.500 [3 per cell]
Ir 0.500 0.500 0.500 [1 per cell]

**Total moment**: 1.8 μB per formula unit
**Energy of formation**: 1.778 eV per atom
**Relative energy among the computed polymorphs**: 1059 meV/atom
**Calculated volume**: 18.0 Å³ per atom

Record 10
# TbYBeRu

A geometry-optimized TbYBeRu structure (PBE, Alexandria).

Unit cell a=6.855 b=6.855 c=6.855 alpha=90.00 beta=90.00 gamma=90.00
Space group F-43m (No. 216)
Asymmetric unit:
Tb 0.000 0.000 0.000 [4 per cell]
Y 0.000 0.000 0.500 [4 per cell]
Be 0.250 0.250 0.250 [4 per cell]
Ru 0.250 0.250 0.750 [4 per cell]

**Total moment**: 0.0 μB per formula unit
**Energy of formation**: -0.125 eV per atom
**Calculated volume**: 20.1 Å³ per atom

Record 11
# Mg5Zr2

A geometry-optimized Mg5Zr2 structure (PBE, Alexandria).

Unit cell a=8.541 b=4.937 c=7.968 alpha=90.00 beta=111.05 gamma=90.00
Space group C2/m (No. 12)
Asymmetric unit:
Mg 0.000 0.000 0.000 [2 per cell]
Mg 0.071 0.500 0.714 [4 per cell]
Mg 0.143 0.000 0.428 [4 per cell]
Zr 0.209 0.500 0.125 [4 per cell]

**Total moment**: 0.4 μB per formula unit
**Energy of formation**: 0.092 eV per atom
**Calculated volume**: 22.4 Å³ per atom

Record 12
# CePr2ErBi4

A geometry-optimized CePr2ErBi4 structure (PBE, Alexandria).

Unit cell a=7.929 b=4.587 c=7.943 alpha=90.00 beta=109.45 gamma=90.00
Space group P2/m (No. 10)
Asymmetric unit:
Ce 0.000 0.000 0.000 [1 per cell]
Pr 0.000 0.500 0.500 [1 per cell]
Pr 0.500 0.000 0.500 [1 per cell]
Er 0.500 0.500 0.000 [1 per cell]
Bi 0.251 0.500 0.243 [2 per cell]
Bi 0.257 0.000 0.760 [2 per cell]

**Total moment**: 0.8 μB per formula unit
**Energy of formation**: -0.878 eV per atom
**Calculated volume**: 34.0 Å³ per atom